(1)
Below is crystalline Re2Se3S at its relaxed geometry, with properties calculated at the GGA-PBE level.

Unit cell a=6.5715 b=6.7210 c=7.0040 alpha=91.55 beta=104.44 gamma=118.55
Closest atoms and distances in Å follow each position.
Fractional coordinates of all 12 atoms:
Se 0.2478 0.3673 0.3075  3 Re 2.59-2.62
Se 0.7481 0.1136 0.7861  3 Re 2.49-2.50
Se 0.2519 0.8864 0.2139  3 Re 2.49-2.50
Se 0.7762 0.3934 0.2853  3 Re 2.50-2.66
Se 0.7522 0.6327 0.6925  3 Re 2.59-2.62
Se 0.2238 0.6066 0.7147  3 Re 2.50-2.66
S 0.2677 0.1513 0.7292  3 Re 2.33-2.43
S 0.7323 0.8487 0.2708  3 Re 2.33-2.43
Re 0.5107 0.2078 0.5030  1 S 2.43, 5 Se 2.49-2.62
Re 0.4893 0.7922 0.4970  1 S 2.43, 5 Se 2.49-2.62
Re 0.9377 0.1818 0.5094  2 S 2.33-2.43, 2 Se 2.49-2.52
Re 0.0623 0.8182 0.4906  2 S 2.33-2.43, 2 Se 2.49-2.52

Properties
- distance to the lowest polymorph of the same formula (eV/atom) = 0.012
- space group = No. 2


(2)
Below is crystalline SrMg2SiHg at its relaxed geometry, with properties calculated at the GGA-PBE level.

Unit cell a=6.8909 b=6.8909 c=6.8909 alpha=142.18 beta=142.18 gamma=54.55
Closest atoms and distances in Å follow each position.
Fractional coordinates of all 5 atoms:
Hg 0.3937 0.3937 0.0000  1 Si 2.67, 4 Mg 2.90
Mg 0.2425 0.7425 0.5000  2 Si 2.75, 2 Hg 2.90
Mg 0.7425 0.2425 0.5000  2 Si 2.75, 2 Hg 2.90
Sr 0.0098 0.0098 0.0000  4 Si 3.40, 4 Hg 3.46, 4 Mg 3.62
Si 0.6116 0.6116 0.0000  1 Hg 2.67, 4 Mg 2.75

Properties
- space group = No. 107
- E_tot (eV/atom) = -2.468


(3)
Below is crystalline TmNpB at its relaxed geometry, with properties calculated at the GGA-PBE level.

Unit cell a=4.3985 b=4.3985 c=4.3985 alpha=60.00 beta=60.00 gamma=60.00
Closest atoms and distances in Å follow each position.
Fractional coordinates of all 3 atoms:
Tm 0.7500 0.7500 0.7500  4 B 2.69
Np 0.2500 0.2500 0.2500  4 B 2.69
B 0.0000 0.0000 0.0000  4 Tm 2.69, 4 Np 2.69

Properties
- distance to the lowest polymorph of the same formula (eV/atom) = 0.000
- space group = No. 216


(4)
Below is crystalline HoSnAuO3 at its relaxed geometry, with properties calculated at the GGA-PBE level.

Unit cell a=3.4628 b=5.9718 c=9.4652 alpha=90.00 beta=90.00 gamma=73.15
Closest atoms and distances in Å follow each position.
Fractional coordinates of all 12 atoms:
O 0.3818 0.2364 0.0418  1 Sn 2.03, 2 Ho 2.23
O 0.9725 0.0550 0.2500  2 Sn 2.30, 2 Ho 2.39
O 0.6182 0.7636 0.5417  1 Sn 2.03, 2 Ho 2.23
O 0.3818 0.2364 0.4582  1 Sn 2.03, 2 Ho 2.23
O 0.0275 0.9450 0.7500  2 Sn 2.30, 2 Ho 2.39
O 0.6182 0.7636 0.9582  1 Sn 2.03, 2 Ho 2.23
Ho 0.0000 0.0000 0.0000  6 O 2.23-2.39
Ho 0.0000 0.0000 0.5000  6 O 2.23-2.39
Sn 0.6605 0.6789 0.7500  2 O 2.03
Sn 0.3395 0.3211 0.2500  2 O 2.03
Au 0.6601 0.6799 0.2500  2 Sn 2.68, 4 O 2.76-2.80
Au 0.3399 0.3201 0.7500  2 Sn 2.68, 4 O 2.76-2.80

Properties
- space group = No. 63
- E_tot (eV/atom) = -6.242


(5)
Below is crystalline Tb5N at its relaxed geometry, with properties calculated at the GGA-PBE level.

Unit cell a=6.1582 b=6.1582 c=6.0234 alpha=90.00 beta=90.00 gamma=120.00
Closest atoms and distances in Å follow each position.
Fractional coordinates of all 6 atoms:
Tb 0.5000 0.0000 0.5000  4 Tb 3.08
Tb 0.6667 0.3333 0.0000  9 Tb 3.50-3.56, 3 N 3.56
Tb 0.5000 0.5000 0.5000  4 Tb 3.08
Tb 0.0000 0.5000 0.5000  4 Tb 3.08
Tb 0.3333 0.6667 0.0000  9 Tb 3.50-3.56, 3 N 3.56
N 0.0000 0.0000 0.0000  6 Tb 3.56

Properties
- space group = No. 191
- E_tot (eV/atom) = -3.847


(6)
Below is crystalline Gd2Al3Cd3 at its relaxed geometry, with properties calculated at the GGA-PBE level.

Unit cell a=4.8569 b=6.4415 c=6.4415 alpha=59.86 beta=90.00 gamma=90.00
Closest atoms and distances in Å follow each position.
Fractional coordinates of all 8 atoms:
Cd 0.5000 0.1653 0.6831  3 Al 2.99-3.01, 4 Cd 3.03-3.33, 4 Gd 3.13-3.30
Cd 0.5000 0.6831 0.1653  3 Al 2.99-3.01, 4 Cd 3.03-3.33, 4 Gd 3.13-3.30
Cd 0.0000 0.8413 0.8413  4 Cd 3.03, 2 Al 3.04, 4 Gd 3.14-3.22
Al 0.0000 0.8559 0.3058  3 Al 2.89-2.95, 3 Cd 2.99-3.04, 3 Gd 3.13-3.14
Al 0.5000 0.1557 0.1557  4 Al 2.95, 2 Cd 3.01, 4 Gd 3.11-3.22
Al 0.0000 0.3058 0.8559  3 Al 2.89-2.95, 3 Cd 2.99-3.04, 3 Gd 3.13-3.14
Gd 0.0000 0.3293 0.3293  6 Al 3.11-3.32, 6 Cd 3.13-3.22
Gd 0.5000 0.6636 0.6636  6 Cd 3.14-3.30, 6 Al 3.14-3.22

Properties
- distance to the lowest polymorph of the same formula (eV/atom) = 0.000
- space group = No. 38


(7)
Below is crystalline TbSn3 at its relaxed geometry, with properties calculated at the GGA-PBE level.

Unit cell a=4.6981 b=4.6981 c=4.6981 alpha=90.00 beta=90.00 gamma=90.00
Closest atoms and distances in Å follow each position.
Fractional coordinates of all 4 atoms:
Sn 0.5000 0.0000 0.5000  8 Sn 3.32, 4 Tb 3.32
Sn 0.0000 0.5000 0.5000  8 Sn 3.32, 4 Tb 3.32
Sn 0.5000 0.5000 0.0000  8 Sn 3.32, 4 Tb 3.32
Tb 0.0000 0.0000 0.0000  12 Sn 3.32

Properties
- space group = No. 221
- E_tot (eV/atom) = -4.596


(8)
Below is crystalline TlFeGeTe3 at its relaxed geometry, with properties calculated at the GGA-PBE level.

Unit cell a=8.6263 b=3.8889 c=10.6470 alpha=90.00 beta=106.59 gamma=90.00
Closest atoms and distances in Å follow each position.
Fractional coordinates of all 12 atoms:
Tl 0.2257 0.7500 0.7714  1 Ge 3.34, 5 Te 3.45-3.65
Tl 0.7743 0.2500 0.2286  1 Ge 3.34, 5 Te 3.45-3.65
Te 0.4202 0.2500 0.5953  3 Fe 2.58-2.64
Te 0.6440 0.7500 0.9050  1 Fe 2.63, 2 Ge 2.78
Te 0.1483 0.7500 0.3089  2 Fe 2.64, 1 Ge 2.71
Te 0.5798 0.7500 0.4047  3 Fe 2.58-2.64
Te 0.8517 0.2500 0.6911  2 Fe 2.64, 1 Ge 2.71
Te 0.3560 0.2500 0.0950  1 Fe 2.63, 2 Ge 2.78
Fe 0.6359 0.7500 0.6558  6 Te 2.58-2.64
Fe 0.3641 0.2500 0.3442  6 Te 2.58-2.64
Ge 0.8838 0.2500 0.9519  3 Te 2.71-2.78, 2 Ge 2.77
Ge 0.1162 0.7500 0.0481  3 Te 2.71-2.78, 2 Ge 2.77

Properties
- space group = No. 11
- E_tot (eV/atom) = -4.160


Going through the records in order, we get calculated volume values of 259; 122; 60; 187; 198; 174; 104; 342 Å³ per cell.